(1)
The following is a DFT calculation (PBE) of a geometry-optimized CaLa2Sm2Cd5 structure.

It has space group P4/mbm (No. 127), with a = 10.895 Å, b = 10.895 Å, c = 4.846 Å, α = 90.00°, β = 90.00° and γ = 90.00°. The inequivalent atoms are Ca at (0.000, 0.000, 0.000), La at (0.175, 0.325, 0.000), Sm at (0.125, 0.625, 0.000), Cd at (0.000, 0.500, 0.500) and Cd at (0.066, 0.806, 0.500).

As for the total energy: -2.80 eV/atom. As for the formation energy: -20.1 kJ/mol of atoms. Its density of states at the Fermi level is 11.9 states/eV/cell.

(2)
The following is a DFT calculation (PBE) of a geometry-optimized Ca2LaCd2Sn2 structure.

It has space group R-3m (No. 166, hexagonal axes), with a = 5.0551 Å, b = 5.0551 Å, c = 26.7780 Å, α = 90.00°, β = 90.00° and γ = 120.00°. The inequivalent atoms are Ca at (0.0000, 0.0000, 0.1362), La at (0.0000, 0.0000, 0.0000), Cd at (0.0000, 0.0000, 0.4309) and Sn at (0.0000, 0.0000, 0.2637).

As for the total energy: -3.12 eV/atom. As for the formation energy: -42.1 kJ/mol of atoms. Its density of states at the Fermi level is 10.6 states/eV/cell.

(3)
The following is a DFT calculation (PBE) of a geometry-optimized CaLa2TaCd structure.

It has space group P4/mmm (No. 123), with a = 5.908 Å, b = 5.908 Å, c = 5.314 Å, α = 90.00°, β = 90.00° and γ = 90.00°. The inequivalent atoms are Ca at (0.000, 0.000, 0.000), La at (0.000, 0.500, 0.500), Ta at (0.500, 0.500, 0.000) and Cd at (0.500, 0.500, 0.500).

As for the total energy: -4.03 eV/atom. As for the formation energy: 85.9 kJ/mol of atoms. Its density of states at the Fermi level is 11.0 states/eV/cell.

(4)
The following is a DFT calculation (PBE) of a geometry-optimized CaLaTbCd structure.

It has space group F-43m (No. 216), with a = 7.967 Å, b = 7.967 Å, c = 7.967 Å, α = 90.00°, β = 90.00° and γ = 90.00°. The inequivalent atoms are Ca at (0.000, 0.000, 0.000), La at (0.250, 0.250, 0.250), Tb at (0.250, 0.250, 0.750) and Cd at (0.000, 0.000, 0.500).

As for the total energy: -3.15 eV/atom. As for the formation energy: -3.4 kJ/mol of atoms. Its density of states at the Fermi level is 20.8 states/eV/cell. Its energy above the most stable polymorph in this dataset is 109 meV per atom.

(5)
The following is a DFT calculation (PBE) of a geometry-optimized CaLaTbCd structure.

It has space group P4mm (No. 99), with a = 3.683 Å, b = 3.683 Å, c = 9.571 Å, α = 90.00°, β = 90.00° and γ = 90.00°. The inequivalent atoms are Ca at (0.000, 0.000, 0.000), La at (0.500, 0.500, 0.316), Tb at (0.000, 0.000, 0.580) and Cd at (0.500, 0.500, 0.782).

As for the total energy: -3.26 eV/atom. As for the formation energy: -13.9 kJ/mol of atoms. Its density of states at the Fermi level is 5.7 states/eV/cell. Its energy above the most stable polymorph in this dataset is 0 meV per atom.

(6)
The following is a DFT calculation (PBE) of a geometry-optimized CaLa2CdTc structure.

It has space group P4/mmm (No. 123), with a = 5.357 Å, b = 5.357 Å, c = 5.647 Å, α = 90.00°, β = 90.00° and γ = 90.00°. The inequivalent atoms are Ca at (0.000, 0.000, 0.000), La at (0.000, 0.500, 0.500), Cd at (0.500, 0.500, 0.000) and Tc at (0.500, 0.500, 0.500).

As for the total energy: -4.61 eV/atom. As for the formation energy: 1.7 kJ/mol of atoms. Its density of states at the Fermi level is 4.9 states/eV/cell. Its energy above the most stable polymorph in this dataset is 14 meV per atom.

(7)
The following is a DFT calculation (PBE) of a geometry-optimized CaLa2CdTc structure.

It has space group P4/mmm (No. 123), with a = 5.342 Å, b = 5.342 Å, c = 5.803 Å, α = 90.00°, β = 90.00° and γ = 90.00°. The inequivalent atoms are Ca at (0.000, 0.000, 0.000), La at (0.000, 0.500, 0.500), Cd at (0.500, 0.500, 0.000) and Tc at (0.000, 0.000, 0.500).

As for the total energy: -4.62 eV/atom. As for the formation energy: 0.3 kJ/mol of atoms. Its density of states at the Fermi level is 4.2 states/eV/cell. Its energy above the most stable polymorph in this dataset is 0 meV per atom.

(8)
The following is a DFT calculation (PBE) of a geometry-optimized Ca2LaTl2Cd2 structure.

It has space group R-3m (No. 166, hexagonal axes), with a = 5.0611 Å, b = 5.0611 Å, c = 28.7503 Å, α = 90.00°, β = 90.00° and γ = 120.00°. The inequivalent atoms are Ca at (0.0000, 0.0000, 0.1279), La at (0.0000, 0.0000, 0.0000), Tl at (0.0000, 0.0000, 0.2546) and Cd at (0.0000, 0.0000, 0.3940).

As for the total energy: -2.51 eV/atom. As for the formation energy: -28.3 kJ/mol of atoms. Its density of states at the Fermi level is 8.6 states/eV/cell.

(9)
The following is a DFT calculation (PBE) of a geometry-optimized CaLaTlCd structure.

It has space group F-43m (No. 216), with a = 7.827 Å, b = 7.827 Å, c = 7.827 Å, α = 90.00°, β = 90.00° and γ = 90.00°. The inequivalent atoms are Ca at (0.000, 0.000, 0.000), La at (0.000, 0.000, 0.500), Tl at (0.250, 0.250, 0.750) and Cd at (0.250, 0.250, 0.250).

As for the total energy: -2.99 eV/atom. As for the formation energy: -41.9 kJ/mol of atoms. Its density of states at the Fermi level is 7.9 states/eV/cell.

(10)
The following is a DFT calculation (PBE) of a geometry-optimized CaLaTm2Cd4 structure.

It has space group R-3m (No. 166, hexagonal axes), with a = 5.3570 Å, b = 5.3570 Å, c = 26.3184 Å, α = 90.00°, β = 90.00° and γ = 120.00°. The inequivalent atoms are Ca at (0.0000, 0.0000, 0.0000), La at (0.0000, 0.0000, 0.5000), Tm at (0.0000, 0.0000, 0.2513), Cd at (0.0000, 0.0000, 0.1230) and Cd at (0.0000, 0.0000, 0.3740).

As for the total energy: -2.75 eV/atom. As for the formation energy: -30.0 kJ/mol of atoms. Its density of states at the Fermi level is 20.2 states/eV/cell.

(11)
The following is a DFT calculation (PBE) of a geometry-optimized CaLaY2Cd4 structure.

It has space group R-3m (No. 166, hexagonal axes), with a = 5.3973 Å, b = 5.3973 Å, c = 26.4915 Å, α = 90.00°, β = 90.00° and γ = 120.00°. The inequivalent atoms are Ca at (0.0000, 0.0000, 0.0000), La at (0.0000, 0.0000, 0.5000), Y at (0.0000, 0.0000, 0.2518), Cd at (0.0000, 0.0000, 0.1236) and Cd at (0.0000, 0.0000, 0.3745).

As for the total energy: -3.28 eV/atom. As for the formation energy: -32.7 kJ/mol of atoms. Its density of states at the Fermi level is 21.5 states/eV/cell.

(12)
The following is a DFT calculation (PBE) of a geometry-optimized CaLaZn2Cd structure.

It has space group P4/mmm (No. 123), with a = 5.124 Å, b = 5.124 Å, c = 5.868 Å, α = 90.00°, β = 90.00° and γ = 90.00°. The inequivalent atoms are Ca at (0.000, 0.000, 0.000), La at (0.500, 0.500, 0.000), Zn at (0.000, 0.500, 0.500) and Cd at (0.500, 0.500, 0.500).

As for the total energy: -1.78 eV/atom. As for the formation energy: 28.6 kJ/mol of atoms. Its density of states at the Fermi level is 5.4 states/eV/cell.

(13)
The following is a DFT calculation (PBE) of a geometry-optimized CaLa2ZnCd structure.

It has space group P4/mmm (No. 123), with a = 5.926 Å, b = 5.926 Å, c = 5.421 Å, α = 90.00°, β = 90.00° and γ = 90.00°. The inequivalent atoms are Ca at (0.000, 0.000, 0.000), La at (0.000, 0.500, 0.000), Zn at (0.500, 0.500, 0.500) and Cd at (0.000, 0.000, 0.500).

As for the total energy: -2.00 eV/atom. As for the formation energy: 78.5 kJ/mol of atoms. Its density of states at the Fermi level is 6.2 states/eV/cell.

(14)
The following is a DFT calculation (PBE) of a geometry-optimized CaLaZrCd2 structure.

It has space group P4/mmm (No. 123), with a = 5.910 Å, b = 5.910 Å, c = 5.282 Å, α = 90.00°, β = 90.00° and γ = 90.00°. The inequivalent atoms are Ca at (0.000, 0.000, 0.000), La at (0.500, 0.500, 0.500), Zr at (0.500, 0.500, 0.000) and Cd at (0.000, 0.500, 0.500).

As for the total energy: -2.71 eV/atom. As for the formation energy: 72.3 kJ/mol of atoms. Its density of states at the Fermi level is 7.1 states/eV/cell.

(15)
The following is a DFT calculation (PBE) of a geometry-optimized LiCa5Cd4 structure.

It has space group P4/mmm (No. 123), with a = 3.812 Å, b = 3.812 Å, c = 19.801 Å, α = 90.00°, β = 90.00° and γ = 90.00°. The inequivalent atoms are Li at (0.000, 0.000, 0.000), Ca at (0.500, 0.500, 0.107), Ca at (0.500, 0.500, 0.302), Ca at (0.500, 0.500, 0.500), Cd at (0.000, 0.000, 0.202) and Cd at (0.000, 0.000, 0.401).

As for the total energy: -1.85 eV/atom. As for the formation energy: -27.9 kJ/mol of atoms. Its density of states at the Fermi level is 8.0 states/eV/cell.

(16)
The following is a DFT calculation (PBE) of a geometry-optimized LiCaCd11 structure.

It has space group C2/m (No. 12), with a = 5.873 Å, b = 14.185 Å, c = 7.663 Å, α = 90.00°, β = 112.29° and γ = 90.00°. The inequivalent atoms are Li at (0.000, 0.000, 0.000), Ca at (0.000, 0.500, 0.500), Cd at (0.000, 0.500, 0.000), Cd at (0.096, 0.105, 0.718), Cd at (0.188, 0.328, 0.856) and Cd at (0.250, 0.250, 0.500).

As for the total energy: -1.22 eV/atom. As for the formation energy: -13.5 kJ/mol of atoms. Its density of states at the Fermi level is 10.7 states/eV/cell.

(17)
The following is a DFT calculation (PBE) of a geometry-optimized Li5CaCd4 structure.

It has space group P4/mmm (No. 123), with a = 3.512 Å, b = 3.512 Å, c = 16.681 Å, α = 90.00°, β = 90.00° and γ = 90.00°. The inequivalent atoms are Li at (0.000, 0.000, 0.000), Li at (0.000, 0.000, 0.188), Li at (0.000, 0.000, 0.364), Ca at (0.500, 0.500, 0.500), Cd at (0.500, 0.500, 0.095) and Cd at (0.500, 0.500, 0.283).

As for the total energy: -1.72 eV/atom. As for the formation energy: -18.7 kJ/mol of atoms. Its density of states at the Fermi level is 4.5 states/eV/cell.

(18)
The following is a DFT calculation (PBE) of a geometry-optimized Li17Ca2Cd3 structure.

It has space group R-3m (No. 166, hexagonal axes), with a = 10.7909 Å, b = 10.7909 Å, c = 15.0674 Å, α = 90.00°, β = 90.00° and γ = 120.00°. The inequivalent atoms are Li at (0.0000, 0.0000, 0.0984), Li at (0.0000, 0.2558, 0.0000), Li at (0.0000, 0.5000, 0.5000), Li at (0.0250, 0.5125, 0.1808), Ca at (0.0000, 0.0000, 0.3343) and Cd at (0.0000, 0.5000, 0.0000).

As for the total energy: -1.78 eV/atom. As for the formation energy: 0.3 kJ/mol of atoms. Its density of states at the Fermi level is 33.7 states/eV/cell.

(19)
The following is a DFT calculation (PBE) of a geometry-optimized Li2CaCd6 structure.

It has space group P6/mmm (No. 191), with a = 8.6656 Å, b = 8.6656 Å, c = 3.1881 Å, α = 90.00°, β = 90.00° and γ = 120.00°. The inequivalent atoms are Li at (0.3333, 0.6667, 0.0000), Ca at (0.0000, 0.0000, 0.0000) and Cd at (0.0000, 0.3378, 0.5000).

As for the total energy: -1.46 eV/atom. As for the formation energy: -19.5 kJ/mol of atoms. Its density of states at the Fermi level is 3.7 states/eV/cell.

(20)
The following is a DFT calculation (PBE) of a geometry-optimized LiCa6Cd structure.

It has space group I4/mmm (No. 139), with a = 5.498 Å, b = 5.498 Å, c = 18.874 Å, α = 90.00°, β = 90.00° and γ = 90.00°. The inequivalent atoms are Li at (0.000, 0.000, 0.000), Ca at (0.000, 0.000, 0.249), Ca at (0.000, 0.500, 0.101) and Cd at (0.000, 0.000, 0.500).

As for the total energy: -1.94 eV/atom. As for the formation energy: -8.5 kJ/mol of atoms. Its density of states at the Fermi level is 18.9 states/eV/cell. Its energy above the most stable polymorph in this dataset is 0 meV per atom.

(21)
The following is a DFT calculation (PBE) of a geometry-optimized Li15Ca2Cd2 structure.

It has space group R-3m (No. 166, hexagonal axes), with a = 9.9875 Å, b = 9.9875 Å, c = 14.3698 Å, α = 90.00°, β = 90.00° and γ = 120.00°. The inequivalent atoms are Li at (0.0000, 0.2778, 0.0000), Li at (0.0000, 0.5000, 0.5000), Li at (0.0072, 0.5036, 0.8563), Ca at (0.0000, 0.0000, 0.3438) and Cd at (0.0000, 0.0000, 0.1058).

As for the total energy: -1.87 eV/atom. As for the formation energy: -5.0 kJ/mol of atoms. Its density of states at the Fermi level is 28.6 states/eV/cell.

(22)
The following is a DFT calculation (PBE) of a geometry-optimized Li17CaCd structure.

It has space group R3m (No. 160, hexagonal axes), with a = 9.3025 Å, b = 9.3025 Å, c = 15.9565 Å, α = 90.00°, β = 90.00° and γ = 120.00°. The inequivalent atoms are Li at (0.0000, 0.0000, 0.0558), Li at (0.0000, 0.0000, 0.2195), Li at (0.0139, 0.3627, 0.8046), Li at (0.0595, 0.5297, 0.6252), Li at (0.0793, 0.5397, 0.0000), Li at (0.0997, 0.5499, 0.2806), Ca at (0.0000, 0.0000, 0.7952) and Cd at (0.0000, 0.0000, 0.4648).

As for the total energy: -1.86 eV/atom. As for the formation energy: 0.1 kJ/mol of atoms. Its density of states at the Fermi level is 15.0 states/eV/cell.

(23)
The following is a DFT calculation (PBE) of a geometry-optimized Li8Ca3Cd structure.

It has space group R3m (No. 160, hexagonal axes), with a = 5.9162 Å, b = 5.9162 Å, c = 29.2441 Å, α = 90.00°, β = 90.00° and γ = 120.00°. The inequivalent atoms are Li at (0.0000, 0.0000, 0.0000), Li at (0.0000, 0.0000, 0.4965), Li at (0.1686, 0.3372, 0.0849), Li at (0.1687, 0.3373, 0.5776), Ca at (0.0000, 0.0000, 0.1792), Ca at (0.0000, 0.0000, 0.3096), Ca at (0.0000, 0.0000, 0.6966) and Cd at (0.0000, 0.0000, 0.8122).

As for the total energy: -1.89 eV/atom. As for the formation energy: -4.0 kJ/mol of atoms. Its density of states at the Fermi level is 20.1 states/eV/cell. Its energy above the most stable polymorph in this dataset is 0 meV per atom.